[1]
ScHgW after structural relaxation. Source: the Alexandria database, functional PBE.

Structure (CIF):
```
data_ScHgW
_chemical_formula_sum 'Sc4 Hg4 W4'
_symmetry_space_group_name_H-M 'F m m 2'
_symmetry_Int_Tables_number 42
_symmetry_space_group_name_Hall 'F 2 -2'
_cell_length_a 3.787
_cell_length_b 4.416
_cell_length_c 13.736
_cell_angle_alpha 90.00
_cell_angle_beta 90.00
_cell_angle_gamma 90.00
loop_
_atom_site_label
_atom_site_type_symbol
_atom_site_fract_x
_atom_site_fract_y
_atom_site_fract_z
Sc1 Sc 0.000 0.000 0.000
Hg1 Hg 0.000 0.000 0.674
W1 W 0.000 0.000 0.342
```

Output
**V**: 57 Å³/f.u.
**Polymorph energy (0 for the lowest one)**: 0.002 eV/atom
**Uncorrected energy**: -75.33 eV/cell
**ΔH_f (0 K)**: 0.25 eV per atom

---

[2]
ScHg2W after structural relaxation. Source: the Alexandria database, functional PBE.

Structure (CIF):
```
data_ScHg2W
_chemical_formula_sum 'Sc1 Hg2 W1'
_symmetry_space_group_name_H-M 'P m m m'
_symmetry_Int_Tables_number 47
_symmetry_space_group_name_Hall '-P 2 2'
_cell_length_a 3.031
_cell_length_b 4.276
_cell_length_c 5.957
_cell_angle_alpha 90.00
_cell_angle_beta 90.00
_cell_angle_gamma 90.00
loop_
_atom_site_label
_atom_site_type_symbol
_atom_site_fract_x
_atom_site_fract_y
_atom_site_fract_z
Sc1 Sc 0.000 0.000 0.000
Hg1 Hg 0.500 0.500 0.257
W1 W 0.000 0.000 0.500
```

Output
**V**: 77 Å³/f.u.
**Polymorph energy (0 for the lowest one)**: 0.059 eV/atom
**Uncorrected energy**: -18.65 eV/cell
**ΔH_f (0 K)**: 0.31 eV per atom